Computed, not measured: crystalline MgTl3In3 at its relaxed geometry at the GGA-PBE level of DFT.

Lattice parameters (Å, degrees): 7.5154 7.5154 7.5154 74.70 74.70 74.70
With the nearest neighbours (Å) after each atom.
Atoms (fractional coordinates):
Mg1 0.2473 0.2473 0.2473  6 In 3.23-3.48, 6 Tl 3.33-3.46
Mg2 0.7527 0.7527 0.7527  6 In 3.23-3.48, 6 Tl 3.33-3.46
Tl1 0.1756 0.4565 0.6072  5 Tl 3.28-3.46, 2 Mg 3.33-3.46, 5 In 3.35-3.56
Tl2 0.3928 0.8244 0.5435  5 Tl 3.28-3.46, 2 Mg 3.33-3.46, 5 In 3.35-3.56
Tl3 0.4565 0.6072 0.1756  5 Tl 3.28-3.46, 2 Mg 3.33-3.46, 5 In 3.35-3.56
Tl4 0.5435 0.3928 0.8244  5 Tl 3.28-3.46, 2 Mg 3.33-3.46, 5 In 3.35-3.56
Tl5 0.6072 0.1756 0.4565  5 Tl 3.28-3.46, 2 Mg 3.33-3.46, 5 In 3.35-3.56
Tl6 0.8244 0.5435 0.3928  5 Tl 3.28-3.46, 2 Mg 3.33-3.46, 5 In 3.35-3.56
In1 0.0342 0.9064 0.3189  2 Mg 3.23-3.48, 5 In 3.25-3.38, 5 Tl 3.35-3.56
In2 0.0936 0.6811 0.9658  2 Mg 3.23-3.48, 5 In 3.25-3.38, 5 Tl 3.35-3.56
In3 0.3189 0.0342 0.9064  2 Mg 3.23-3.48, 5 In 3.25-3.38, 5 Tl 3.35-3.56
In4 0.6811 0.9658 0.0936  2 Mg 3.23-3.48, 5 In 3.25-3.38, 5 Tl 3.35-3.56
In5 0.9064 0.3189 0.0342  2 Mg 3.23-3.48, 5 In 3.25-3.38, 5 Tl 3.35-3.56
In6 0.9658 0.0936 0.6811  2 Mg 3.23-3.48, 5 In 3.25-3.38, 5 Tl 3.35-3.56

Results
Formation energy from the elements (meV/atom): 11
Calculated volume (Å³/cell): 386
Total DFT energy (no corrections) (eV for the cell shown): -33.66
Space group: R-3, No. 148
E above lowest polymorph (kJ per mole of atoms): 0.0